Entry from Alexandria via LeMat-Bulk: a relaxed structure of Tb3SbO7 (PBE-GGA).

a = 6.505 Å, b = 6.505 Å, c = 7.556 Å
α = 90.00°, β = 90.00°, γ = 109.46°
Atoms (fractional coordinates):
1 O 0.929 0.680 0.970
2 O 0.320 0.071 0.530
3 O 0.679 0.927 0.471
4 O 0.680 0.929 0.030
5 O 0.073 0.321 0.029
6 Tb 0.532 0.000 0.750
7 O 0.370 0.630 0.750
8 Tb 0.000 0.532 0.250
9 Tb 0.468 0.000 0.250
10 Tb 0.498 0.498 0.000
11 Tb 0.502 0.502 0.500
12 O 0.637 0.363 0.750
13 O 0.931 0.069 0.750
14 O 0.321 0.073 0.971
15 Tb 0.000 0.468 0.750
16 Sb 0.000 0.000 0.000
17 O 0.927 0.679 0.529
18 Sb 0.000 0.000 0.500
19 O 0.630 0.370 0.250
20 O 0.071 0.320 0.470
21 O 0.069 0.931 0.250
22 O 0.363 0.637 0.250

**Total DFT energy (no corrections)**: -7.768 eV per atom
**Spin magnetization**: 0.000 μB per atom
**Raw formation energy**: -2.9754 eV/atom
**Offset from the most stable computed form**: 0 meV per atom